1.
Here is an optimized crystal structure of SrDyZnRh from the Alexandria database. Energies are from PBE.

Cell lengths 5.088, 5.088, 5.088 Å; angles 60.00, 60.00, 60.00 degrees
Fractional positions:
Sr: 0.000 0.000 0.000
Dy: 0.500 0.500 0.500
Zn: 0.750 0.750 0.750
Rh: 0.250 0.250 0.250

The value obtained for the final energy is -4.024 eV per atom. As for the magnetization: 0.0 Bohr magnetons per cell. Its mass density is 7.5 g/cm³.



2.
Here is an optimized crystal structure of Dy2Ta2ZnRh5 from the Alexandria database. Energies are from PBE.

Cell lengths 10.729, 10.729, 3.150 Å; angles 90.00, 90.00, 90.00 degrees
Fractional positions:
Dy: 0.167 0.333 0.000
Dy: 0.333 0.833 0.000
Dy: 0.667 0.167 0.000
Dy: 0.833 0.667 0.000
Ta: 0.141 0.641 0.000
Ta: 0.359 0.141 0.000
Ta: 0.641 0.859 0.000
Ta: 0.859 0.359 0.000
Zn: 0.000 0.000 0.000
Zn: 0.500 0.500 0.000
Rh: 0.000 0.500 0.500
Rh: 0.058 0.810 0.500
Rh: 0.190 0.058 0.500
Rh: 0.310 0.558 0.500
Rh: 0.442 0.310 0.500
Rh: 0.500 0.000 0.500
Rh: 0.558 0.690 0.500
Rh: 0.690 0.442 0.500
Rh: 0.810 0.942 0.500
Rh: 0.942 0.190 0.500

The value obtained for the final energy is -7.506 eV per atom. As for the magnetization: 0.0 Bohr magnetons per cell. Its mass density is 11.6 g/cm³.



3.
Here is an optimized crystal structure of Tb3DyRh2 from the Alexandria database. Energies are from PBE.

Cell lengths 8.367, 8.367, 8.367 Å; angles 132.59, 71.53, 129.80 degrees
Fractional positions:
Tb: 0.018 0.750 0.268
Tb: 0.250 0.250 0.000
Tb: 0.482 0.750 0.732
Tb: 0.518 0.250 0.268
Tb: 0.750 0.750 0.000
Tb: 0.982 0.250 0.732
Dy: 0.000 0.500 0.500
Dy: 0.500 0.000 0.500
Rh: 0.138 0.212 0.350
Rh: 0.362 0.712 0.074
Rh: 0.638 0.288 0.926
Rh: 0.862 0.788 0.650

The value obtained for the final energy is -6.094 eV per atom. As for the energy above the most stable polymorph in this dataset: 84.4 meV per atom. As for the magnetization: 0.0 Bohr magnetons per cell. Its mass density is 8.7 g/cm³.



4.
Here is an optimized crystal structure of Tb2DyRh from the Alexandria database. Energies are from PBE.

Cell lengths 10.735, 10.735, 10.735 Å; angles 19.48, 19.48, 19.48 degrees
Fractional positions:
Tb: 0.110 0.110 0.110
Tb: 0.890 0.890 0.890
Dy: 0.000 0.000 0.000
Rh: 0.500 0.500 0.500

The value obtained for the final energy is -5.437 eV per atom. As for the energy above the most stable polymorph in this dataset: 385.1 meV per atom. As for the magnetization: 0.5 Bohr magnetons per cell. Its mass density is 8.1 g/cm³.



5.
Here is an optimized crystal structure of TbDy2Rh from the Alexandria database. Energies are from PBE.

Cell lengths 9.355, 9.355, 9.355 Å; angles 23.62, 23.62, 23.62 degrees
Fractional positions:
Tb: 0.000 0.000 0.000
Dy: 0.558 0.558 0.558
Dy: 0.772 0.772 0.772
Rh: 0.165 0.165 0.165

The value obtained for the final energy is -5.634 eV per atom. As for the energy above the most stable polymorph in this dataset: 186.8 meV per atom. As for the magnetization: 0.4 Bohr magnetons per cell. Its mass density is 8.4 g/cm³.



6.
Here is an optimized crystal structure of TbDy3Rh3 from the Alexandria database. Energies are from PBE.

Cell lengths 6.925, 6.925, 6.722 Å; angles 90.03, 90.03, 90.34 degrees
Fractional positions:
Tb: 0.249 0.249 0.001
Tb: 0.751 0.751 0.999
Dy: 0.242 0.758 0.000
Dy: 0.245 0.245 0.501
Dy: 0.246 0.754 0.500
Dy: 0.754 0.246 0.500
Dy: 0.755 0.755 0.499
Dy: 0.758 0.242 0.000
Rh: 0.000 0.000 0.250
Rh: 0.000 0.000 0.750
Rh: 0.000 0.500 0.251
Rh: 0.000 0.500 0.749
Rh: 0.500 0.000 0.251
Rh: 0.500 0.000 0.749

The value obtained for the final energy is -6.500 eV per atom. As for the magnetization: 0.0 Bohr magnetons per cell. Its mass density is 9.8 g/cm³.



7.
Here is an optimized crystal structure of TbDyRh4 from the Alexandria database. Energies are from PBE.

Cell lengths 5.341, 5.341, 5.341 Å; angles 60.00, 60.00, 60.00 degrees
Fractional positions:
Tb: 0.000 0.000 0.000
Dy: 0.250 0.250 0.250
Rh: 0.125 0.625 0.625
Rh: 0.625 0.125 0.625
Rh: 0.625 0.625 0.125
Rh: 0.625 0.625 0.625

The value obtained for the final energy is -7.181 eV per atom. As for the magnetization: 0.0 Bohr magnetons per cell. Its mass density is 11.3 g/cm³.



8.
Here is an optimized crystal structure of TbDyRh from the Alexandria database. Energies are from PBE.

Cell lengths 14.467, 3.812, 8.118 Å; angles 90.00, 90.00, 90.00 degrees
Fractional positions:
Tb: 0.042 0.000 0.189
Tb: 0.250 0.000 0.847
Tb: 0.458 0.000 0.189
Tb: 0.542 0.000 0.811
Tb: 0.750 0.000 0.153
Tb: 0.958 0.000 0.811
Dy: 0.117 0.500 0.561
Dy: 0.250 0.500 0.201
Dy: 0.383 0.500 0.561
Dy: 0.617 0.500 0.439
Dy: 0.750 0.500 0.799
Dy: 0.883 0.500 0.439
Rh: 0.101 0.500 0.928
Rh: 0.250 0.000 0.462
Rh: 0.399 0.500 0.928
Rh: 0.601 0.500 0.072
Rh: 0.750 0.000 0.538
Rh: 0.899 0.500 0.072

The value obtained for the final energy is -6.165 eV per atom. As for the energy above the most stable polymorph in this dataset: 0.0 meV per atom. As for the magnetization: 0.0 Bohr magnetons per cell. Its mass density is 9.4 g/cm³.



9.
Here is an optimized crystal structure of TbDy2Rh from the Alexandria database. Energies are from PBE.

Cell lengths 10.726, 10.726, 10.726 Å; angles 19.47, 19.47, 19.47 degrees
Fractional positions:
Tb: 0.000 0.000 0.000
Dy: 0.111 0.111 0.111
Dy: 0.889 0.889 0.889
Rh: 0.500 0.500 0.500

The value obtained for the final energy is -5.443 eV per atom. As for the energy above the most stable polymorph in this dataset: 377.8 meV per atom. As for the magnetization: 0.4 Bohr magnetons per cell. Its mass density is 8.1 g/cm³.



10.
Here is an optimized crystal structure of Tb2DyRh from the Alexandria database. Energies are from PBE.

Cell lengths 9.402, 9.402, 9.402 Å; angles 23.48, 23.48, 23.48 degrees
Fractional positions:
Tb: 0.000 0.000 0.000
Tb: 0.213 0.213 0.213
Dy: 0.441 0.441 0.441
Rh: 0.606 0.606 0.606

The value obtained for the final energy is -5.629 eV per atom. As for the energy above the most stable polymorph in this dataset: 193.8 meV per atom. As for the magnetization: 0.5 Bohr magnetons per cell. Its mass density is 8.4 g/cm³.



11.
Here is an optimized crystal structure of TbDyRh2 from the Alexandria database. Energies are from PBE.

Cell lengths 4.854, 4.854, 4.854 Å; angles 60.00, 60.00, 60.00 degrees
Fractional positions:
Tb: 0.000 0.000 0.000
Dy: 0.500 0.500 0.500
Rh: 0.250 0.250 0.250
Rh: 0.750 0.750 0.750

The value obtained for the final energy is -6.846 eV per atom. As for the energy above the most stable polymorph in this dataset: 0.0 meV per atom. As for the magnetization: 0.0 Bohr magnetons per cell. Its mass density is 10.8 g/cm³.



12.
Here is an optimized crystal structure of TbDy5Rh6 from the Alexandria database. Energies are from PBE.

Cell lengths 7.662, 7.662, 6.867 Å; angles 90.00, 90.00, 143.16 degrees
Fractional positions:
Tb: 0.000 0.000 0.000
Dy: 0.000 0.000 0.500
Dy: 0.333 0.667 0.000
Dy: 0.333 0.667 0.500
Dy: 0.667 0.333 0.000
Dy: 0.667 0.333 0.500
Rh: 0.167 0.833 0.250
Rh: 0.167 0.833 0.750
Rh: 0.500 0.500 0.251
Rh: 0.500 0.500 0.749
Rh: 0.833 0.167 0.250
Rh: 0.833 0.167 0.750

The value obtained for the final energy is -6.850 eV per atom. As for the magnetization: 0.0 Bohr magnetons per cell. Its mass density is 10.9 g/cm³.



Among the records above, which one has the highest mass density?
Dy2Ta2ZnRh5



final energy of number 7 (TbDyRh4)?
-7.181 eV per atom